# Fe2SI

Crystalline Fe2SI at its relaxed geometry (GGA-PBE, Alexandria via LeMat-Bulk).

- E (eV per atom) = -4.962
- energy above the most stable polymorph in this dataset (meV/atom) = 467
- formation energy (no corrections) (eV per atom) = 0.689

a b c (Å): 4.628 4.628 4.628
angles (deg): 60.00 60.00 60.00
Each line ends with the local moment (μB).
Element x y z (fractional)
I 0.500 0.500 0.500  0.18
Fe 0.750 0.750 0.750  3.04
Fe 0.250 0.250 0.250  3.04
S 0.000 0.000 0.000  0.28

***

# Fe2SI

Crystalline Fe2SI at its relaxed geometry (GGA-PBE, Alexandria via LeMat-Bulk).

- E (eV per atom) = -5.429
- energy above the most stable polymorph in this dataset (meV/atom) = 0
- formation energy (no corrections) (eV per atom) = 0.222

a b c (Å): 5.133 5.133 6.731
angles (deg): 67.59 67.59 90.00
Each line ends with the local moment (μB).
Element x y z (fractional)
S 0.250 0.750 0.500  -0.02
S 0.500 0.500 0.000  -0.02
Fe 0.197 0.625 0.250  0.68
Fe 0.375 0.447 0.750  0.58
Fe 0.553 0.125 0.250  0.67
Fe 0.875 0.803 0.750  0.59
I 0.000 0.000 0.000  -0.01
I 0.750 0.250 0.500  0.00

***

# FeS3I

Crystalline FeS3I at its relaxed geometry (GGA-PBE, Alexandria via LeMat-Bulk).

- E (eV per atom) = -4.020
- energy above the most stable polymorph in this dataset (meV/atom) = 0
- formation energy (no corrections) (eV per atom) = 0.459

a b c (Å): 4.502 4.502 4.502
angles (deg): 90.00 90.00 90.00
Element x y z (fractional)
Fe 0.000 0.000 0.000
S 0.000 0.500 0.000
S 0.000 0.000 0.500
S 0.500 0.000 0.000
I 0.500 0.500 0.500

***

# FeS2I

Crystalline FeS2I at its relaxed geometry (GGA-PBE, Alexandria via LeMat-Bulk).

- E (eV per atom) = -3.372
- energy above the most stable polymorph in this dataset (meV/atom) = 1266
- formation energy (no corrections) (eV per atom) = 1.195

a b c (Å): 4.603 4.603 4.603
angles (deg): 60.00 60.00 60.00
Element x y z (fractional)
Fe 0.000 0.000 0.000
S 0.750 0.750 0.750
S 0.250 0.250 0.250
I 0.500 0.500 0.500

***

# FeS2I

Crystalline FeS2I at its relaxed geometry (GGA-PBE, Alexandria via LeMat-Bulk).

- E (eV per atom) = -4.501
- energy above the most stable polymorph in this dataset (meV/atom) = 136
- formation energy (no corrections) (eV per atom) = 0.066

a b c (Å): 6.305 6.305 6.455
angles (deg): 60.77 60.77 90.00
Element x y z (fractional)
Fe 0.500 0.500 0.000
Fe 0.250 0.750 0.500
S 0.259 0.625 0.250
S 0.491 0.125 0.250
S 0.875 0.741 0.750
S 0.375 0.509 0.750
I 0.000 0.000 0.000
I 0.750 0.250 0.500

***

# FeS2I

Crystalline FeS2I at its relaxed geometry (GGA-PBE, Alexandria via LeMat-Bulk).

- E (eV per atom) = -4.637
- energy above the most stable polymorph in this dataset (meV/atom) = 0
- formation energy (no corrections) (eV per atom) = -0.070

a b c (Å): 7.786 7.786 7.786
angles (deg): 26.14 26.14 26.14
Each line ends with the local moment (μB).
Element x y z (fractional)
I 0.000 0.000 0.000  -0.02
S 0.881 0.881 0.881  0.01
S 0.119 0.119 0.119  0.01
Fe 0.500 0.500 0.500  0.68

***

# FeSI3

Crystalline FeSI3 at its relaxed geometry (GGA-PBE, Alexandria via LeMat-Bulk).

- E (eV per atom) = -2.573
- energy above the most stable polymorph in this dataset (meV/atom) = 130
- formation energy (no corrections) (eV per atom) = 0.876

a b c (Å): 5.548 5.548 5.548
angles (deg): 90.00 90.00 90.00
Each line ends with the local moment (μB).
Element x y z (fractional)
I 0.000 0.500 0.000  0.04
I 0.500 0.000 0.000  0.06
I 0.000 0.000 0.500  0.03
Fe 0.500 0.500 0.500  3.50
S 0.000 0.000 0.000  0.00

***

# FeSI3

Crystalline FeSI3 at its relaxed geometry (GGA-PBE, Alexandria via LeMat-Bulk).

- E (eV per atom) = -2.702
- energy above the most stable polymorph in this dataset (meV/atom) = 0
- formation energy (no corrections) (eV per atom) = 0.746

a b c (Å): 5.164 5.164 5.164
angles (deg): 90.00 90.00 90.00
Element x y z (fractional)
I 0.000 0.500 0.000
I 0.500 0.000 0.000
I 0.000 0.000 0.500
S 0.500 0.500 0.500
Fe 0.000 0.000 0.000

***

# FeSb2SI

Crystalline FeSb2SI at its relaxed geometry (GGA-PBE, Alexandria via LeMat-Bulk).

- E (eV per atom) = -3.435
- energy above the most stable polymorph in this dataset (meV/atom) = 488
- formation energy (no corrections) (eV per atom) = 1.042

a b c (Å): 5.190 5.190 5.510
angles (deg): 90.00 90.00 90.00
Each line ends with the local moment (μB).
Element x y z (fractional)
Sb 0.500 0.000 0.000  -0.03
Sb 0.000 0.500 0.000  -0.03
S 0.000 0.000 0.000  -0.01
I 0.000 0.000 0.500  0.01
Fe 0.500 0.500 0.500  3.33

***

# FeSb2SI

Crystalline FeSb2SI at its relaxed geometry (GGA-PBE, Alexandria via LeMat-Bulk).

- E (eV per atom) = -3.922
- energy above the most stable polymorph in this dataset (meV/atom) = 0
- formation energy (no corrections) (eV per atom) = 0.555

a b c (Å): 5.034 5.034 5.002
angles (deg): 90.00 90.00 90.00
Each line ends with the local moment (μB).
Element x y z (fractional)
Sb 0.000 0.500 0.000  -0.01
Sb 0.500 0.000 0.000  -0.01
I 0.000 0.000 0.500  0.12
S 0.500 0.500 0.500  -0.04
Fe 0.000 0.000 0.000  1.78

***

# FeSbSI2

Crystalline FeSbSI2 at its relaxed geometry (GGA-PBE, Alexandria via LeMat-Bulk).

- E (eV per atom) = -2.948
- energy above the most stable polymorph in this dataset (meV/atom) = 326
- formation energy (no corrections) (eV per atom) = 1.015

a b c (Å): 5.610 5.610 5.210
angles (deg): 90.00 90.00 90.00
Each line ends with the local moment (μB).
Element x y z (fractional)
Fe 0.500 0.500 0.500  3.45
S 0.000 0.000 0.000  -0.01
I 0.000 0.500 0.000  0.07
I 0.500 0.000 0.000  0.07
Sb 0.000 0.000 0.500  0.08

***

# FeSbSI2

Crystalline FeSbSI2 at its relaxed geometry (GGA-PBE, Alexandria via LeMat-Bulk).

- E (eV per atom) = -3.274
- energy above the most stable polymorph in this dataset (meV/atom) = 0
- formation energy (no corrections) (eV per atom) = 0.689

a b c (Å): 5.099 5.099 5.007
angles (deg): 90.00 90.00 90.00
Element x y z (fractional)
S 0.500 0.500 0.500
Fe 0.000 0.000 0.000
Sb 0.000 0.000 0.500
I 0.500 0.000 0.000
I 0.000 0.500 0.000

***

Question: What is the energy above the most stable polymorph in this dataset in the third record?
Answer: 0 meV/atom

***

Question: What is the formation energy (no corrections) in the twelfth record?
Answer: 0.689 eV per atom

***

Question: The highest energy above the most stable polymorph in this dataset belongs to which entry?
Answer: number 4

***

Question: Which of these has the highest formation energy (no corrections)?
Answer: number 4